No. 1
First-principles (PBE-GGA) data for crystalline Rb4TlAu at its relaxed geometry, as listed in the Open Quantum Materials Database.

a b c (Å): 7.1304 11.7150 27.3412
angles (deg): 90.00 90.00 90.00
Space group Fmmm (No. 69)
Inequivalent atoms, fractional coordinates:
Rb (0.0000, 0.0000, 0.2067)
Rb (0.0000, 0.1687, 0.5000)
Rb (0.0000, 0.1757, 0.3566)
Tl (0.0000, 0.0000, 0.0565)
Au (0.2500, 0.2500, 0.2500)

---

No. 2
First-principles (PBE-GGA) data for crystalline HfInCo2 at its relaxed geometry, as listed in the Open Quantum Materials Database.

a b c (Å): 4.3517 4.3517 3.2018
angles (deg): 90.00 90.00 90.00
Space group P4/mmm (No. 123)
Inequivalent atoms, fractional coordinates:
Hf (0.0000, 0.0000, 0.0000)
In (0.5000, 0.5000, 0.0000)
Co (0.0000, 0.5000, 0.5000)

---

No. 3
First-principles (PBE-GGA) data for crystalline DyErAg2O4 at its relaxed geometry, as listed in the Open Quantum Materials Database.

a b c (Å): 3.4612 3.4612 12.5166
angles (deg): 90.00 90.00 120.00
Space group P-3m1 (No. 164)
Inequivalent atoms, fractional coordinates:
Dy (0.0000, 0.0000, 0.0000)
Er (0.0000, 0.0000, 0.5000)
Ag (0.3333, 0.6667, 0.7490)
O (0.3333, 0.6667, 0.5833)
O (0.3333, 0.6667, 0.9145)

---

No. 4
First-principles (PBE-GGA) data for crystalline Cu5Ag4 at its relaxed geometry, as listed in the Open Quantum Materials Database.

Calculated values
Energy above the lowest structure with this stoichiometry: 48 meV per atom
E_form: 8.58 kJ per mole of atoms

a b c (Å): 2.8194 3.5794 25.9549
angles (deg): 90.00 90.00 90.00
Space group Immm (No. 71)
Inequivalent atoms, fractional coordinates:
Cu (0.0000, 0.0000, 0.0000)
Cu (0.0000, 0.0000, 0.3402)
Cu (0.0000, 0.0000, 0.4522)
Ag (0.0000, 0.0000, 0.1043)
Ag (0.0000, 0.0000, 0.2164)

---

No. 5
First-principles (PBE-GGA) data for crystalline Cu2Ag3 at its relaxed geometry, as listed in the Open Quantum Materials Database.

Calculated values
Energy above the lowest structure with this stoichiometry: 50 meV per atom
E_form: 7.98 kJ per mole of atoms

a b c (Å): 11.5804 2.8675 9.5197
angles (deg): 90.00 98.92 90.00
Space group C2/m (No. 12)
Inequivalent atoms, fractional coordinates:
Cu (0.0552, 0.0000, 0.1533)
Cu (0.2402, 0.5000, 0.2350)
Ag (0.0627, 0.5000, 0.6586)
Ag (0.1420, 0.5000, 0.9530)
Ag (0.1505, 0.0000, 0.4349)

---

No. 6
First-principles (PBE-GGA) data for crystalline Gd3In3IrAu2 at its relaxed geometry, as listed in the Open Quantum Materials Database.

a b c (Å): 7.7384 7.7384 3.9955
angles (deg): 90.00 90.00 120.00
Space group P-62m (No. 189)
Inequivalent atoms, fractional coordinates:
Gd (0.0000, 0.3983, 0.0000)
In (0.0000, 0.7468, 0.5000)
Ir (0.0000, 0.0000, 0.0000)
Au (0.3333, 0.6667, 0.5000)

---

No. 7
First-principles (PBE-GGA) data for crystalline Zr2GaIr at its relaxed geometry, as listed in the Open Quantum Materials Database.

a b c (Å): 6.6128 6.6128 6.6128
angles (deg): 90.00 90.00 90.00
Space group F-43m (No. 216)
Inequivalent atoms, fractional coordinates:
Zr (0.0000, 0.0000, 0.0000)
Zr (0.2500, 0.2500, 0.2500)
Ga (0.0000, 0.0000, 0.5000)
Ir (0.2500, 0.2500, 0.7500)

---

No. 8
First-principles (PBE-GGA) data for crystalline In2BiIrS6 at its relaxed geometry, as listed in the Open Quantum Materials Database.

a b c (Å): 11.3443 3.8302 12.8096
angles (deg): 90.00 115.17 90.00
Space group P2_1/m (No. 11)
Inequivalent atoms, fractional coordinates:
In (0.0412, 0.2500, 0.1354)
In (0.2718, 0.2500, 0.7316)
Bi (0.4024, 0.2500, 0.1037)
Ir (0.1195, 0.7500, 0.4021)
S (0.0515, 0.2500, 0.7773)
S (0.1556, 0.7500, 0.0702)
S (0.1584, 0.7500, 0.5903)
S (0.2072, 0.2500, 0.3724)
S (0.3619, 0.7500, 0.8986)
S (0.4957, 0.7500, 0.2647)

---

No. 9
First-principles (PBE-GGA) data for crystalline La2Ge4OsPd at its relaxed geometry, as listed in the Open Quantum Materials Database.

a b c (Å): 4.3992 4.4427 9.0090
angles (deg): 90.00 104.08 90.00
Space group Pm (No. 6)
Inequivalent atoms, fractional coordinates:
La (0.0000, 0.0000, 0.0000)
La (0.2204, 0.5000, 0.4348)
Ge (0.3617, 0.0000, 0.7226)
Ge (0.5636, 0.5000, 0.1341)
Ge (0.6508, 0.0000, 0.2889)
Ge (0.8618, 0.5000, 0.7182)
Os (0.4315, 0.5000, 0.8580)
Pd (0.7864, 0.0000, 0.5716)

---

No. 10
First-principles (PBE-GGA) data for crystalline HfBPt at its relaxed geometry, as listed in the Open Quantum Materials Database.

a b c (Å): 5.9717 5.9717 5.9717
angles (deg): 90.00 90.00 90.00
Space group F-43m (No. 216)
Inequivalent atoms, fractional coordinates:
Hf (0.0000, 0.0000, 0.0000)
B (0.2500, 0.2500, 0.7500)
Pt (0.2500, 0.2500, 0.2500)

---

No. 11
First-principles (PBE-GGA) data for crystalline FeAg2Ge at its relaxed geometry, as listed in the Open Quantum Materials Database.

a b c (Å): 6.3966 6.3966 6.3966
angles (deg): 90.00 90.00 90.00
Space group F-43m (No. 216)
Inequivalent atoms, fractional coordinates:
Fe (0.0000, 0.0000, 0.0000)
Ag (0.0000, 0.0000, 0.5000)
Ag (0.2500, 0.2500, 0.2500)
Ge (0.2500, 0.2500, 0.7500)

---

No. 12
First-principles (PBE-GGA) data for crystalline Hf2BeP at its relaxed geometry, as listed in the Open Quantum Materials Database.

a b c (Å): 5.1191 3.5057 7.2994
angles (deg): 90.00 110.16 90.00
Space group P2_1/m (No. 11)
Inequivalent atoms, fractional coordinates:
Hf (0.2196, 0.2500, 0.4257)
Hf (0.2783, 0.7500, 0.0728)
Be (0.1415, 0.2500, 0.7840)
P (0.3491, 0.7500, 0.7161)

---

No. 13
First-principles (PBE-GGA) data for crystalline GaSb3Ir at its relaxed geometry, as listed in the Open Quantum Materials Database.

a b c (Å): 5.2443 5.2443 5.2443
angles (deg): 90.00 90.00 90.00
Space group Pm-3m (No. 221)
Inequivalent atoms, fractional coordinates:
Ga (0.0000, 0.0000, 0.0000)
Sb (0.0000, 0.5000, 0.5000)
Ir (0.5000, 0.5000, 0.5000)

---

No. 14
First-principles (PBE-GGA) data for crystalline RbThInSe3 at its relaxed geometry, as listed in the Open Quantum Materials Database.

a b c (Å): 4.3047 17.0645 12.2283
angles (deg): 90.00 90.00 90.00
Space group Cmcm (No. 63)
Inequivalent atoms, fractional coordinates:
Rb (0.0000, 0.1818, 0.2500)
Th (0.0000, 0.5000, 0.0000)
In (0.0000, 0.1267, 0.7500)
Se (0.0000, 0.1127, 0.0000)
Se (0.0000, 0.4928, 0.2500)

---

No. 15
First-principles (PBE-GGA) data for crystalline Lu4Hf2P3C3 at its relaxed geometry, as listed in the Open Quantum Materials Database.

a b c (Å): 10.6113 6.1463 13.0174
angles (deg): 90.00 105.89 90.00
Space group C2/c (No. 15)
Inequivalent atoms, fractional coordinates:
Lu (0.1196, 0.0821, 0.1074)
Lu (0.2133, 0.0841, 0.3925)
Hf (0.0510, 0.4163, 0.9020)
P (0.0000, 0.1008, 0.7500)
P (0.1579, 0.4247, 0.2500)
C (0.0769, 0.2695, 0.5001)
C (0.2500, 0.2500, 0.0000)

---

No. 16
First-principles (PBE-GGA) data for crystalline ZrSi2As2 at its relaxed geometry, as listed in the Open Quantum Materials Database.

a b c (Å): 3.5018 3.5018 15.3948
angles (deg): 90.00 90.00 90.00
Space group I4/mmm (No. 139)
Inequivalent atoms, fractional coordinates:
Zr (0.0000, 0.0000, 0.0000)
Si (0.0000, 0.5000, 0.2500)
As (0.0000, 0.0000, 0.4077)

---

No. 17
First-principles (PBE-GGA) data for crystalline Ho2ErSc3Te2Os at its relaxed geometry, as listed in the Open Quantum Materials Database.

a b c (Å): 4.0117 13.7182 7.8927
angles (deg): 90.00 90.00 90.00
Space group Amm2 (No. 38)
Inequivalent atoms, fractional coordinates:
Ho (0.0000, 0.1943, 0.0000)
Er (0.0000, 0.0000, 0.4191)
Sc (0.5000, 0.0000, 0.0368)
Sc (0.5000, 0.1159, 0.6900)
Te (0.5000, 0.1662, 0.3062)
Os (0.0000, 0.0000, 0.8026)

---

No. 18
First-principles (PBE-GGA) data for crystalline AcTmNp at its relaxed geometry, as listed in the Open Quantum Materials Database.

Calculated values
Energy above the lowest structure with this stoichiometry: 128 meV per atom
E_form: 122.27 kJ per mole of atoms

a b c (Å): 7.6736 7.6736 7.6736
angles (deg): 90.00 90.00 90.00
Space group F-43m (No. 216)
Inequivalent atoms, fractional coordinates:
Ac (0.0000, 0.0000, 0.0000)
Tm (0.2500, 0.2500, 0.2500)
Np (0.2500, 0.2500, 0.7500)

---

No. 19
First-principles (PBE-GGA) data for crystalline FeGeMoPd at its relaxed geometry, as listed in the Open Quantum Materials Database.

Calculated values
Energy above the lowest structure with this stoichiometry: 0 meV per atom

a b c (Å): 6.1359 6.1359 6.1359
angles (deg): 90.00 90.00 90.00
Space group F-43m (No. 216)
Inequivalent atoms, fractional coordinates:
Fe (0.0000, 0.0000, 0.0000)
Ge (0.2500, 0.2500, 0.7500)
Mo (0.0000, 0.0000, 0.5000)
Pd (0.2500, 0.2500, 0.2500)

---

No. 20
First-principles (PBE-GGA) data for crystalline MgCoCuW at its relaxed geometry, as listed in the Open Quantum Materials Database.

Calculated values
Energy above the lowest structure with this stoichiometry: 454 meV per atom

a b c (Å): 6.0032 6.0032 6.0032
angles (deg): 90.00 90.00 90.00
Space group F-43m (No. 216)
Inequivalent atoms, fractional coordinates:
Mg (0.0000, 0.0000, 0.0000)
Co (0.2500, 0.2500, 0.7500)
Cu (0.0000, 0.0000, 0.5000)
W (0.2500, 0.2500, 0.2500)

---

No. 21
First-principles (PBE-GGA) data for crystalline ZnCdGaCu at its relaxed geometry, as listed in the Open Quantum Materials Database.

Calculated values
Energy above the lowest structure with this stoichiometry: 25 meV per atom

a b c (Å): 6.4546 6.4546 6.4546
angles (deg): 90.00 90.00 90.00
Space group F-43m (No. 216)
Inequivalent atoms, fractional coordinates:
Zn (0.0000, 0.0000, 0.0000)
Cd (0.2500, 0.2500, 0.2500)
Ga (0.0000, 0.0000, 0.5000)
Cu (0.2500, 0.2500, 0.7500)

---

No. 22
First-principles (PBE-GGA) data for crystalline Y4NiGeC2 at its relaxed geometry, as listed in the Open Quantum Materials Database.

a b c (Å): 3.6136 3.6136 14.1792
angles (deg): 90.00 90.00 120.00
Space group P-6m2 (No. 187)
Inequivalent atoms, fractional coordinates:
Y (0.0000, 0.0000, 0.1410)
Y (0.6667, 0.3333, 0.3333)
Ni (0.6667, 0.3333, 0.0000)
Ge (0.0000, 0.0000, 0.5000)
C (0.3333, 0.6667, 0.2379)

---

No. 23
First-principles (PBE-GGA) data for crystalline PaZnSi at its relaxed geometry, as listed in the Open Quantum Materials Database.

a b c (Å): 6.2891 6.2891 6.2891
angles (deg): 90.00 90.00 90.00
Space group F-43m (No. 216)
Inequivalent atoms, fractional coordinates:
Pa (0.0000, 0.0000, 0.0000)
Zn (0.2500, 0.2500, 0.2500)
Si (0.0000, 0.0000, 0.5000)

---

No. 24
First-principles (PBE-GGA) data for crystalline Zr4HgPbN2 at its relaxed geometry, as listed in the Open Quantum Materials Database.

a b c (Å): 3.3463 3.3463 14.7155
angles (deg): 90.00 90.00 120.00
Space group P-6m2 (No. 187)
Inequivalent atoms, fractional coordinates:
Zr (0.0000, 0.0000, 0.1645)
Zr (0.3333, 0.6667, 0.3307)
Hg (0.3333, 0.6667, 0.0000)
Pb (0.0000, 0.0000, 0.5000)
N (0.6667, 0.3333, 0.2450)

---

Number 1: raw total energy -1.655 eV/atom. Number 2: raw total energy -6.927 eV/atom. Number 3: raw total energy -6.628 eV/atom. Number 4: raw total energy -3.231 eV/atom. Number 5: raw total energy -3.099 eV/atom. Number 6: raw total energy -4.911 eV/atom. Number 7: raw total energy -7.601 eV/atom. Number 8: raw total energy -4.637 eV/atom. Number 9: raw total energy -6.261 eV/atom. Number 10: raw total energy -7.277 eV/atom. Number 11: raw total energy -4.353 eV/atom. Number 12: raw total energy -8.160 eV/atom. Number 13: raw total energy -4.337 eV/atom. Number 14: raw total energy -4.836 eV/atom. Number 15: raw total energy -7.757 eV/atom. Number 16: raw total energy -5.797 eV/atom. Number 17: raw total energy -6.344 eV/atom. Number 18: raw total energy -5.850 eV/atom. Number 19: raw total energy -7.144 eV/atom. Number 20: raw total energy -5.655 eV/atom. Number 21: raw total energy -2.076 eV/atom. Number 22: raw total energy -7.135 eV/atom. Number 23: raw total energy -5.282 eV/atom. Number 24: raw total energy -7.841 eV/atom.